Entry 1:
! PBE BeBAs2, relaxed; values from VASP
&SYSTEM
  ibrav = 0, nat = 4, ntyp = 3
/
ATOMIC_SPECIES
Be 9.01 Be.upf
As 74.92 As.upf
B 10.81 B.upf
CELL_PARAMETERS angstrom
-0.5787 2.4186 -2.7086
0.2681 -1.0692 -3.5080
-6.1417 -1.0126 -2.0880
ATOMIC_POSITIONS crystal
Be 0.5000 0.5000 0.5000
As 0.8986 0.8986 0.3043
As 0.1014 0.1014 0.6957
B 0.0000 0.0000 0.0000
! **Formation energy from the elements**: 0.629 eV/atom
! **Distance to the lowest polymorph of the same formula**: 571 meV per atom

---

Entry 2:
! PBE Cr3InTe, relaxed; values from VASP
&SYSTEM
  ibrav = 0, nat = 5, ntyp = 3
/
ATOMIC_SPECIES
Cr 52.00 Cr.upf
In 114.82 In.upf
Te 127.60 Te.upf
CELL_PARAMETERS angstrom
-3.3125 -3.8122 1.1820
3.9624 -2.9570 1.5677
-0.4784 1.9042 4.8008
ATOMIC_POSITIONS crystal
Cr 0.5000 0.0000 0.0000
Cr 0.0000 0.5000 0.0000
Cr 0.0000 0.0000 0.5000
In 0.5000 0.5000 0.5000
Te 0.0000 0.0000 0.0000
! **ΔE_f (raw)**: 1024.8 meV per atom
! **Distance to the lowest polymorph of the same formula**: 0 meV per atom

---

Entry 3:
! PBE PmCrFeP2, relaxed; values from VASP
&SYSTEM
  ibrav = 0, nat = 5, ntyp = 4
/
ATOMIC_SPECIES
P 30.97 P.upf
Fe 55.84 Fe.upf
Pm 145.00 Pm.upf
Cr 52.00 Cr.upf
CELL_PARAMETERS angstrom
-1.0320 0.2455 3.7464
3.5858 -1.0868 1.0590
0.1715 5.2780 -2.3220
ATOMIC_POSITIONS crystal
P 0.3632 0.3632 0.7264
P 0.6368 0.6368 0.2736
Fe 0.7500 0.2500 0.5000
Pm 0.0000 0.0000 0.0000
Cr 0.2500 0.7500 0.5000
! **Formation energy from the elements**: -0.855 eV/atom

---

Entry 4:
! PBE Na5B7C3, relaxed; values from VASP
&SYSTEM
  ibrav = 0, nat = 30, ntyp = 3
/
ATOMIC_SPECIES
B 10.81 B.upf
C 12.01 C.upf
Na 22.99 Na.upf
CELL_PARAMETERS angstrom
1.7756 -6.0901 -6.3980
3.8262 -6.7764 -4.5408
-9.2618 -4.1119 8.7066
ATOMIC_POSITIONS crystal
B 0.2268 0.2268 0.7028
B 0.9616 0.9616 0.6725
B 0.7672 0.7672 0.7834
B 0.0305 0.0305 0.8115
B 0.1643 0.1643 0.0786
B 0.7732 0.7732 0.2972
B 0.9695 0.9695 0.1885
B 0.8357 0.8357 0.9214
B 0.4296 0.4296 0.1094
B 0.5704 0.5704 0.8906
B 0.0384 0.0384 0.3275
B 0.2328 0.2328 0.2166
B 0.6330 0.6330 0.5160
B 0.3670 0.3670 0.4840
C 0.8354 0.8354 0.4216
C 0.6332 0.6332 0.0157
C 0.3668 0.3668 0.9843
C 0.5688 0.5688 0.3892
C 0.1646 0.1646 0.5784
C 0.4312 0.4312 0.6108
Na 0.7993 0.7993 0.1006
Na 0.2001 0.2001 0.4005
Na 0.7999 0.7999 0.5995
Na 0.2007 0.2007 0.8994
Na 0.6003 0.6003 0.2009
Na 0.0000 0.0000 0.5000
Na 0.0000 0.0000 0.0000
Na 0.4016 0.4016 0.3007
Na 0.3997 0.3997 0.7991
Na 0.5984 0.5984 0.6993
! **Formation energy from the elements**: 0.126 eV/atom
! **Distance to the lowest polymorph of the same formula**: 13 meV per atom

---

no.,V (A^3/atom),N(E_F) (states/eV/cell)
1,18.19,1.07
2,27.91,1.78
3,15.37,4.87
4,10.37,12.32